Record 1
{"formula": "Mg3MnPt", "functional": "PBE", "state": "relaxed", "crystal_system": "cubic", "dos_at_fermi_per_ev_fu": 2.1, "e_above_lowest_polymorph_mev_per_atom": 0, "space_group": "Pm-3m, No. 221", "formation_enthalpy_0k_ev_per_atom": 0.13, "lattice_angstrom": [[4.9737, 0.0000, 0.0000], [0.0000, 4.9737, 0.0000], [0.0000, 0.0000, 4.9737]], "species": ["Pt", "Mg", "Mg", "Mn", "Mg"], "frac_coords": [[0.0000, 0.0000, 0.0000], [0.0000, 0.0000, 0.5000], [0.5000, 0.0000, 0.0000], [0.5000, 0.5000, 0.5000], [0.0000, 0.5000, 0.0000]]}

Record 2
{"formula": "Mg2MnPt9", "functional": "PBE", "state": "relaxed", "crystal_system": "tetragonal", "dos_at_fermi_per_ev_fu": 12.1, "space_group": "P4/mmm, No. 123", "formation_enthalpy_0k_ev_per_atom": -0.52, "lattice_angstrom": [[3.9473, 0.0000, 0.0000], [0.0000, 3.9473, 0.0000], [0.0000, 0.0000, 11.8564]], "species": ["Pt", "Pt", "Pt", "Mg", "Pt", "Pt", "Mn", "Pt", "Pt", "Pt", "Mg", "Pt"], "frac_coords": [[0.0000, 0.5000, 0.8361], [0.5000, 0.5000, 0.0000], [0.0000, 0.5000, 0.1639], [0.0000, 0.0000, 0.3330], [0.5000, 0.0000, 0.8361], [0.5000, 0.5000, 0.3321], [0.0000, 0.0000, 0.0000], [0.5000, 0.5000, 0.6679], [0.5000, 0.0000, 0.5000], [0.5000, 0.0000, 0.1639], [0.0000, 0.0000, 0.6670], [0.0000, 0.5000, 0.5000]]}

Record 3
{"formula": "MgMn2Pt8", "functional": "PBE", "state": "relaxed", "crystal_system": "orthorhombic", "dos_at_fermi_per_ev_fu": 9.9, "space_group": "Immm, No. 71", "formation_enthalpy_0k_ev_per_atom": -0.31, "lattice_angstrom": [[-2.9239, 0.9421, -2.5556], [4.8308, 0.1362, -5.4769], [-1.9333, -6.3137, 3.0084]], "species": ["Mn", "Pt", "Pt", "Pt", "Pt", "Pt", "Mn", "Pt", "Mg", "Pt", "Pt"], "frac_coords": [[0.8165, 0.3165, 0.6330], [0.3373, 0.1090, 0.6745], [0.1520, 0.1520, 0.3040], [0.6628, 0.4344, 0.3255], [0.6627, 0.8910, 0.3255], [0.0000, 0.7026, 0.0000], [0.1835, 0.6835, 0.3670], [0.3372, 0.5656, 0.6745], [0.5000, 0.0000, 0.0000], [0.0000, 0.2974, 0.0000], [0.8480, 0.8480, 0.6960]]}

Record 4
{"formula": "MgMn2Pt9", "functional": "PBE", "state": "relaxed", "crystal_system": "tetragonal", "dos_at_fermi_per_ev_fu": 11.8, "space_group": "P4/mmm, No. 123", "formation_enthalpy_0k_ev_per_atom": -0.44, "lattice_angstrom": [[3.9397, 0.0000, 0.0000], [0.0000, 3.9397, 0.0000], [0.0000, 0.0000, 11.8002]], "species": ["Pt", "Pt", "Pt", "Pt", "Mn", "Pt", "Pt", "Pt", "Pt", "Mg", "Pt", "Mn"], "frac_coords": [[0.0000, 0.5000, 0.1696], [0.5000, 0.0000, 0.1696], [0.5000, 0.5000, 0.6658], [0.5000, 0.5000, 0.0000], [0.0000, 0.0000, 0.6664], [0.0000, 0.5000, 0.8304], [0.5000, 0.5000, 0.3342], [0.5000, 0.0000, 0.8304], [0.0000, 0.5000, 0.5000], [0.0000, 0.0000, 0.0000], [0.5000, 0.0000, 0.5000], [0.0000, 0.0000, 0.3336]]}